Record 1
{"formula": "In2HgPb3Br8", "functional": "PBE", "state": "optimized geometry", "raw_formation_energy_ev_per_atom": -0.75, "vol_a3_per_cell": 640.1, "total_magnetization_mub_per_atom": 0.00, "lattice_angstrom": [[4.4611, 2.5756, 9.2843], [-4.4611, 2.5756, 9.2843], [0.0000, -5.1513, 9.2843]], "species": ["In", "In", "Hg", "Pb", "Pb", "Pb", "Br", "Br", "Br", "Br", "Br", "Br", "Br", "Br"], "frac_coords": [[0.0000, 0.0000, 0.0000], [0.4133, 0.4133, 0.4133], [0.7340, 0.7340, 0.7340], [0.3817, 0.3817, 0.8825], [0.3817, 0.8825, 0.3817], [0.8825, 0.3817, 0.3817], [0.1141, 0.1141, 0.6051], [0.1141, 0.6051, 0.1141], [0.1525, 0.1525, 0.1525], [0.1788, 0.6383, 0.6383], [0.6051, 0.1141, 0.1141], [0.6077, 0.6077, 0.6077], [0.6383, 0.1788, 0.6383], [0.6383, 0.6383, 0.1788]]}


Record 2
{"formula": "InHgPbBr3", "functional": "PBE", "state": "optimized geometry", "raw_formation_energy_ev_per_atom": -0.63, "vol_a3_per_cell": 494.7, "total_magnetization_mub_per_atom": 0.00, "lattice_angstrom": [[4.5262, -6.1961, 0.0000], [4.5262, 6.1961, 0.0000], [0.0000, 0.0000, 8.8203]], "species": ["In", "In", "Hg", "Hg", "Pb", "Pb", "Br", "Br", "Br", "Br", "Br", "Br"], "frac_coords": [[0.0128, 0.9872, 0.7500], [0.9872, 0.0128, 0.2500], [0.2526, 0.7474, 0.2500], [0.7474, 0.2526, 0.7500], [0.4770, 0.5230, 0.7500], [0.5230, 0.4770, 0.2500], [0.2484, 0.7516, 0.7500], [0.2658, 0.2658, 0.0000], [0.2658, 0.2658, 0.5000], [0.7342, 0.7342, 0.0000], [0.7342, 0.7342, 0.5000], [0.7516, 0.2484, 0.2500]]}


Record 3
{"formula": "In2HgPbBr", "functional": "PBE", "state": "optimized geometry", "raw_formation_energy_ev_per_atom": 0.15, "vol_a3_per_cell": 186.2, "total_magnetization_mub_per_atom": 0.00, "lattice_angstrom": [[5.6818, 0.0000, 0.0000], [0.0000, 5.6818, 0.0000], [0.0000, 0.0000, 5.7678]], "species": ["In", "In", "Hg", "Pb", "Br"], "frac_coords": [[0.0000, 0.5000, 0.0000], [0.5000, 0.0000, 0.0000], [0.0000, 0.0000, 0.0000], [0.0000, 0.0000, 0.5000], [0.5000, 0.5000, 0.5000]]}


Record 4
{"formula": "RbInHgBr", "functional": "PBE", "state": "optimized geometry", "raw_formation_energy_ev_per_atom": -0.48, "vol_a3_per_cell": 141.7, "total_magnetization_mub_per_atom": 0.00, "lattice_angstrom": [[0.0000, 4.1384, 4.1384], [4.1384, 0.0000, 4.1384], [4.1384, 4.1384, 0.0000]], "species": ["Rb", "In", "Hg", "Br"], "frac_coords": [[0.0000, 0.0000, 0.0000], [0.5000, 0.5000, 0.5000], [0.7500, 0.7500, 0.7500], [0.2500, 0.2500, 0.2500]]}


Record 5
{"formula": "RbInHg2Br8", "functional": "PBE", "state": "optimized geometry", "raw_formation_energy_ev_per_atom": -0.78, "vol_a3_per_cell": 480.4, "total_magnetization_mub_per_atom": 0.00, "lattice_angstrom": [[6.8998, 0.0000, 0.0000], [-0.6295, 7.8027, 0.0000], [-0.6137, -3.9601, 8.9241]], "species": ["Rb", "In", "Hg", "Hg", "Br", "Br", "Br", "Br", "Br", "Br", "Br", "Br"], "frac_coords": [[0.0000, 0.0000, 0.0000], [0.0000, 0.0000, 0.5000], [0.4589, 0.2657, 0.7914], [0.5411, 0.7343, 0.2086], [0.1458, 0.7782, 0.2363], [0.2227, 0.8716, 0.6588], [0.2905, 0.2958, 0.5579], [0.4504, 0.2895, 0.0618], [0.5496, 0.7105, 0.9382], [0.7095, 0.7042, 0.4421], [0.7773, 0.1284, 0.3412], [0.8542, 0.2218, 0.7637]]}


Record 6
{"formula": "RbIn2HgBr8", "functional": "PBE", "state": "optimized geometry", "raw_formation_energy_ev_per_atom": -0.85, "vol_a3_per_cell": 467.4, "total_magnetization_mub_per_atom": 0.03, "lattice_angstrom": [[3.6203, 2.0902, 10.2939], [-3.6203, 2.0902, 10.2939], [0.0000, -4.1804, 10.2939]], "species": ["Rb", "In", "In", "Hg", "Br", "Br", "Br", "Br", "Br", "Br", "Br", "Br"], "frac_coords": [[0.0000, 0.0000, 0.0000], [0.2521, 0.2521, 0.2521], [0.7479, 0.7479, 0.7479], [0.5000, 0.5000, 0.5000], [0.0931, 0.4224, 0.8038], [0.1962, 0.9069, 0.5776], [0.3345, 0.3345, 0.3345], [0.4224, 0.8038, 0.0931], [0.5776, 0.1962, 0.9069], [0.6655, 0.6655, 0.6655], [0.8038, 0.0931, 0.4224], [0.9069, 0.5776, 0.1962]]}


Record 7
{"formula": "RbInHg2Br4", "functional": "PBE", "state": "optimized geometry", "raw_formation_energy_ev_per_atom": -0.83, "vol_a3_per_cell": 357.2, "total_magnetization_mub_per_atom": 0.00, "lattice_angstrom": [[7.1827, 0.0000, 0.0000], [3.4936, 6.6185, 0.0000], [3.3340, -0.4969, 7.5139]], "species": ["Rb", "In", "Hg", "Hg", "Br", "Br", "Br", "Br"], "frac_coords": [[0.0000, 0.0000, 0.0000], [0.4968, 0.7584, 0.3034], [0.0607, 0.4579, 0.7529], [0.5525, 0.4517, 0.7610], [0.1104, 0.9756, 0.5446], [0.5057, 0.9493, 0.0170], [0.5116, 0.4197, 0.2656], [0.8367, 0.7192, 0.3566]]}


Record 8
{"formula": "Rb2InHg2Br4", "functional": "PBE", "state": "optimized geometry", "raw_formation_energy_ev_per_atom": -1.00, "vol_a3_per_cell": 314.5, "total_magnetization_mub_per_atom": 0.00, "lattice_angstrom": [[-4.2544, 4.2544, 4.3443], [4.2544, -4.2544, 4.3443], [4.2544, 4.2544, -4.3443]], "species": ["Rb", "Rb", "In", "Hg", "Hg", "Br", "Br", "Br", "Br"], "frac_coords": [[0.2500, 0.7500, 0.5000], [0.7500, 0.2500, 0.5000], [0.0000, 0.0000, 0.0000], [0.3304, 0.3304, 0.0000], [0.6696, 0.6696, 0.0000], [0.2421, 0.2421, 0.4843], [0.2421, 0.7579, 0.0000], [0.7579, 0.2421, 0.0000], [0.7579, 0.7579, 0.5157]]}


Record 9
{"formula": "RbIn2Hg2Br6", "functional": "PBE", "state": "optimized geometry", "raw_formation_energy_ev_per_atom": -0.75, "vol_a3_per_cell": 454.2, "total_magnetization_mub_per_atom": 0.00, "lattice_angstrom": [[6.2724, -4.1243, 0.0000], [6.2724, 4.1243, 0.0000], [-6.2580, 0.0000, 8.7788]], "species": ["Rb", "In", "In", "Hg", "Hg", "Br", "Br", "Br", "Br", "Br", "Br"], "frac_coords": [[0.0000, 0.0000, 0.0000], [0.2820, 0.2820, 0.6870], [0.7180, 0.7180, 0.3130], [0.4615, 0.4615, 0.2368], [0.5385, 0.5385, 0.7632], [0.0158, 0.5182, 0.1962], [0.1091, 0.1091, 0.3971], [0.4818, 0.9842, 0.8038], [0.5182, 0.0158, 0.1962], [0.8909, 0.8909, 0.6029], [0.9842, 0.4818, 0.8038]]}


Record 10
{"formula": "In2HgS3Br", "functional": "PBE", "state": "optimized geometry", "raw_formation_energy_ev_per_atom": -0.42, "vol_a3_per_cell": 369.4, "total_magnetization_mub_per_atom": 0.00, "lattice_angstrom": [[4.1114, 2.3737, 6.3090], [-4.1114, 2.3737, 6.3090], [0.0000, -4.7474, 6.3090]], "species": ["In", "In", "In", "In", "Hg", "Hg", "S", "S", "S", "S", "S", "S", "Br", "Br"], "frac_coords": [[0.0000, 0.0000, 0.0000], [0.0000, 0.0000, 0.5000], [0.0000, 0.5000, 0.0000], [0.5000, 0.0000, 0.0000], [0.4265, 0.4265, 0.4265], [0.5735, 0.5735, 0.5735], [0.1958, 0.7656, 0.7656], [0.2344, 0.2344, 0.8042], [0.2344, 0.8042, 0.2344], [0.7656, 0.1958, 0.7656], [0.7656, 0.7656, 0.1958], [0.8042, 0.2344, 0.2344], [0.2609, 0.2609, 0.2609], [0.7391, 0.7391, 0.7391]]}


Record 11
{"formula": "InHgS2Br", "functional": "PBE", "state": "optimized geometry", "raw_formation_energy_ev_per_atom": -0.25, "vol_a3_per_cell": 401.6, "total_magnetization_mub_per_atom": 0.00, "lattice_angstrom": [[8.1362, 0.0000, 0.0000], [0.0000, 6.2526, 0.0000], [-2.4013, 0.0000, 7.8950]], "species": ["In", "In", "Hg", "Hg", "S", "S", "S", "S", "Br", "Br"], "frac_coords": [[0.2012, 0.2500, 0.0475], [0.7988, 0.7500, 0.9525], [0.3324, 0.2500, 0.5815], [0.6676, 0.7500, 0.4185], [0.3948, 0.2500, 0.8773], [0.4069, 0.2500, 0.3262], [0.5931, 0.7500, 0.6738], [0.6052, 0.7500, 0.1227], [0.1310, 0.7500, 0.0243], [0.8690, 0.2500, 0.9757]]}


Record 12
{"formula": "InHgSBr", "functional": "PBE", "state": "optimized geometry", "raw_formation_energy_ev_per_atom": -0.46, "vol_a3_per_cell": 124.5, "total_magnetization_mub_per_atom": 0.00, "lattice_angstrom": [[3.4522, -1.9939, 0.0000], [3.4522, 1.9939, 0.0000], [-0.0161, 0.0000, 9.0427]], "species": ["In", "Hg", "S", "Br"], "frac_coords": [[0.0000, 0.0000, 0.0000], [0.0002, 0.0002, 0.2983], [0.3331, 0.3331, 0.8760], [0.6674, 0.6674, 0.4862]]}


Record 13
{"formula": "In2Hg4SbBr5", "functional": "PBE", "state": "optimized geometry", "raw_formation_energy_ev_per_atom": -0.38, "vol_a3_per_cell": 432.0, "total_magnetization_mub_per_atom": 0.00, "lattice_angstrom": [[9.4487, 0.0000, 0.0000], [0.0000, 7.0433, 3.2455], [0.0000, -7.0433, 3.2455]], "species": ["In", "In", "Hg", "Hg", "Hg", "Hg", "Sb", "Br", "Br", "Br", "Br", "Br"], "frac_coords": [[0.0000, 0.1893, 0.8107], [0.0000, 0.8107, 0.1893], [0.3033, 0.4162, 0.4162], [0.5000, 0.3576, 0.9432], [0.5000, 0.9432, 0.3576], [0.6967, 0.4162, 0.4162], [0.5000, 0.1066, 0.1066], [0.0000, 0.2446, 0.2446], [0.2499, 0.5607, 0.8479], [0.2499, 0.8479, 0.5607], [0.7501, 0.5607, 0.8479], [0.7501, 0.8479, 0.5607]]}


Record 14
{"formula": "InHgSeBr", "functional": "PBE", "state": "optimized geometry", "raw_formation_energy_ev_per_atom": -0.47, "vol_a3_per_cell": 131.9, "total_magnetization_mub_per_atom": 0.00, "lattice_angstrom": [[3.5643, -2.0574, 0.0000], [3.5643, 2.0574, 0.0000], [-0.0156, 0.0000, 8.9948]], "species": ["In", "Hg", "Se", "Br"], "frac_coords": [[0.0000, 0.0000, 0.0000], [0.9989, 0.9989, 0.6996], [0.6670, 0.6670, 0.1377], [0.3319, 0.3319, 0.5179]]}


Record 15
{"formula": "In4Hg2SeBr", "functional": "PBE", "state": "optimized geometry", "raw_formation_energy_ev_per_atom": -0.23, "vol_a3_per_cell": 235.6, "total_magnetization_mub_per_atom": 0.00, "lattice_angstrom": [[7.1944, 0.0000, 0.0000], [0.0000, 4.1455, 0.0000], [-2.4255, 0.0000, 7.8993]], "species": ["In", "In", "In", "In", "Hg", "Hg", "Se", "Br"], "frac_coords": [[0.2279, 0.0000, 0.2388], [0.2287, 0.5000, 0.7483], [0.7713, 0.5000, 0.2517], [0.7721, 0.0000, 0.7612], [0.0000, 0.0000, 0.5000], [0.5000, 0.5000, 0.5000], [0.0000, 0.5000, 0.0000], [0.5000, 0.0000, 0.0000]]}


Record 16
{"formula": "InHgSe2Br", "functional": "PBE", "state": "optimized geometry", "raw_formation_energy_ev_per_atom": 0.13, "vol_a3_per_cell": 156.5, "relative_energy_mev_per_atom": 0, "total_magnetization_mub_per_atom": 0.09, "lattice_angstrom": [[5.3713, 0.0000, 0.0000], [0.0000, 5.3713, 0.0000], [0.0000, 0.0000, 5.4239]], "species": ["In", "Hg", "Se", "Se", "Br"], "frac_coords": [[0.0000, 0.0000, 0.0000], [0.5000, 0.5000, 0.5000], [0.0000, 0.5000, 0.0000], [0.5000, 0.0000, 0.0000], [0.0000, 0.0000, 0.5000]]}


Record 17
{"formula": "InHgSeBr2", "functional": "PBE", "state": "optimized geometry", "raw_formation_energy_ev_per_atom": -0.16, "vol_a3_per_cell": 161.1, "relative_energy_mev_per_atom": 0, "total_magnetization_mub_per_atom": 0.00, "lattice_angstrom": [[5.4169, 0.0000, 0.0000], [0.0000, 5.4169, 0.0000], [0.0000, 0.0000, 5.4902]], "species": ["In", "Hg", "Se", "Br", "Br"], "frac_coords": [[0.0000, 0.0000, 0.0000], [0.5000, 0.5000, 0.5000], [0.0000, 0.0000, 0.5000], [0.0000, 0.5000, 0.0000], [0.5000, 0.0000, 0.0000]]}


Record 18
{"formula": "In2SnHgBr4", "functional": "PBE", "state": "optimized geometry", "raw_formation_energy_ev_per_atom": -0.61, "vol_a3_per_cell": 274.8, "total_magnetization_mub_per_atom": 0.00, "lattice_angstrom": [[7.0017, -2.2350, 0.0000], [7.0017, 2.2350, 0.0000], [-3.8360, 0.0000, 8.7792]], "species": ["In", "In", "Sn", "Hg", "Br", "Br", "Br", "Br"], "frac_coords": [[0.1931, 0.1931, 0.1996], [0.8069, 0.8069, 0.8004], [0.0000, 0.0000, 0.5000], [0.5000, 0.5000, 0.0000], [0.1567, 0.1567, 0.8225], [0.3768, 0.3768, 0.5627], [0.6232, 0.6232, 0.4373], [0.8433, 0.8433, 0.1775]]}


Record 19
{"formula": "InSnHg2Br4", "functional": "PBE", "state": "optimized geometry", "raw_formation_energy_ev_per_atom": -0.49, "vol_a3_per_cell": 319.8, "total_magnetization_mub_per_atom": 0.00, "lattice_angstrom": [[5.8841, 0.0000, 0.0000], [2.9370, 7.3973, 0.0000], [2.9417, 0.8777, 7.3473]], "species": ["In", "Sn", "Hg", "Hg", "Br", "Br", "Br", "Br"], "frac_coords": [[0.0000, 0.0000, 0.0000], [0.5008, 0.3319, 0.6682], [0.9997, 0.6666, 0.3282], [0.5000, 0.6697, 0.3248], [0.2534, 0.6660, 0.8282], [0.4973, 0.0435, 0.9620], [0.7483, 0.1643, 0.3398], [0.9991, 0.3080, 0.6945]]}


Record 20
{"formula": "InSnHgBr3", "functional": "PBE", "state": "optimized geometry", "raw_formation_energy_ev_per_atom": -0.55, "vol_a3_per_cell": 445.3, "total_magnetization_mub_per_atom": 0.00, "lattice_angstrom": [[10.1582, -2.2246, 0.0000], [10.1582, 2.2246, 0.0000], [-2.9561, 0.0000, 9.8518]], "species": ["In", "In", "Sn", "Sn", "Hg", "Hg", "Br", "Br", "Br", "Br", "Br", "Br"], "frac_coords": [[0.1558, 0.1558, 0.0472], [0.8442, 0.8442, 0.9528], [0.4312, 0.4312, 0.6035], [0.5688, 0.5688, 0.3965], [0.1335, 0.1335, 0.6089], [0.8665, 0.8665, 0.3911], [0.0078, 0.0078, 0.2199], [0.3162, 0.3162, 0.1571], [0.3181, 0.3181, 0.6814], [0.6819, 0.6819, 0.3186], [0.6838, 0.6838, 0.8429], [0.9922, 0.9922, 0.7801]]}